<w>
Here is a geometry-optimized YLuPa structure from the Alexandria database. Energies are from PBE-GGA.

Geometry as CIF:
```
data_YLuPa
_chemical_formula_sum 'Y1 Lu1 Pa1'
_cell_length_a 3.4080
_cell_length_b 3.4080
_cell_length_c 8.4575
_cell_angle_alpha 90.00
_cell_angle_beta 90.00
_cell_angle_gamma 120.00
_symmetry_space_group_name_H-M 'P 3 m 1'
_symmetry_Int_Tables_number 156
loop_
_symmetry_equiv_pos_as_xyz
'x,y,z'
'-y,x-y,z'
'-x+y,-x,z'
'-y,-x,z'
'-x+y,y,z'
'x,x-y,z'
loop_
_atom_site_label
_atom_site_fract_x
_atom_site_fract_y
_atom_site_fract_z
Y1 0.0000 0.0000 0.0000
Lu1 0.3333 0.6667 0.6429
Pa1 0.6667 0.3333 0.3257
```

The calculation puts the total moment at 0.0 μB per cell.

---

<x>
Here is a geometry-optimized YLuPa structure from the Alexandria database. Energies are from PBE-GGA.

Geometry as CIF:
```
data_YLuPa
_chemical_formula_sum 'Y2 Lu2 Pa2'
_cell_length_a 3.390
_cell_length_b 3.390
_cell_length_c 14.953
_cell_angle_alpha 90.00
_cell_angle_beta 90.00
_cell_angle_gamma 90.00
_symmetry_space_group_name_H-M 'I 4 m m'
_symmetry_Int_Tables_number 107
_symmetry_space_group_name_Hall 'I 4 -2'
loop_
_atom_site_label
_atom_site_fract_x
_atom_site_fract_y
_atom_site_fract_z
Y1 0.000 0.000 0.000
Lu1 0.000 0.000 0.316
Pa1 0.000 0.000 0.661
```

The calculation puts the total moment at 0.4 μB per cell.

---

The most stable of them is <w>.